A plane-wave DFT calculation with PBE was carried out for an optimized crystal structure of LiLaMg2.

Computed properties:
Energy of formation from the pure elements ... 0.08 eV/atom

abc: 11.207 11.207 11.207
angles: 17.10 17.10 17.10
Fractional coordinates of all 4 atoms:
Li 0.000 0.000 0.000
La 0.757 0.757 0.757
Mg 0.259 0.259 0.259
Mg 0.511 0.511 0.511

=====

A plane-wave DFT calculation with PBE was carried out for an optimized crystal structure of LiLa3Mg.

Computed properties:
Energy of formation from the pure elements ... 0.40 eV/atom

abc: 5.491 5.491 5.491
angles: 90.00 90.00 90.00
Fractional coordinates of all 5 atoms:
Li 0.000 0.000 0.000
La 0.000 0.000 0.500
La 0.000 0.500 0.000
La 0.500 0.000 0.000
Mg 0.500 0.500 0.500

=====

A plane-wave DFT calculation with PBE was carried out for an optimized crystal structure of LiLaMg4.

Computed properties:
Energy of formation from the pure elements ... -0.07 eV/atom

abc: 3.465 3.465 12.239
angles: 90.00 90.00 90.00
Fractional coordinates of all 6 atoms:
Li 0.000 0.000 0.000
La 0.500 0.500 0.500
Mg 0.000 0.000 0.294
Mg 0.000 0.000 0.706
Mg 0.500 0.500 0.137
Mg 0.500 0.500 0.863

=====

A plane-wave DFT calculation with PBE was carried out for an optimized crystal structure of Li17LaMg.

Computed properties:
Energy of formation from the pure elements ... 0.06 eV/atom

abc: 7.502 7.502 7.502
angles: 79.64 79.64 79.64
Fractional coordinates of all 19 atoms:
Li 0.050 0.050 0.050
Li 0.135 0.453 0.844
Li 0.135 0.844 0.453
Li 0.169 0.169 0.614
Li 0.169 0.614 0.169
Li 0.232 0.232 0.232
Li 0.238 0.812 0.812
Li 0.453 0.135 0.844
Li 0.453 0.844 0.135
Li 0.537 0.537 0.926
Li 0.537 0.926 0.537
Li 0.614 0.169 0.169
Li 0.812 0.238 0.812
Li 0.812 0.812 0.238
Li 0.844 0.135 0.453
Li 0.844 0.453 0.135
Li 0.926 0.537 0.537
La 0.483 0.483 0.483
Mg 0.821 0.821 0.821